Here is a geometry-optimized Cu2Hg2Pb structure from Alexandria via LeMat-Bulk. Energies are from GGA-PBE.

The structure in CIF format:
```
data_Cu2Hg2Pb
_cell_length_a 4.2818
_cell_length_b 4.2818
_cell_length_c 6.6006
_cell_angle_alpha 71.07
_cell_angle_beta 71.07
_cell_angle_gamma 90.00
_symmetry_space_group_name_H-M 'P 1'
_symmetry_Int_Tables_number 1
loop_
_symmetry_equiv_pos_as_xyz
'x,y,z'
loop_
_atom_site_label
_atom_site_type_symbol
_atom_site_fract_x
_atom_site_fract_y
_atom_site_fract_z
Pb1 Pb 0.0000 0.0000 0.0000
Hg1 Hg 0.7500 0.2500 0.5000
Hg2 Hg 0.2500 0.7500 0.5000
Cu1 Cu 0.3984 0.3984 0.2031
Cu2 Cu 0.6016 0.6016 0.7969
```

Total magnetization ... 0.000 μB per atom
Energy above the lowest structure with this stoichiometry ... 0.0690 eV per atom
Raw total energy ... -0.167 Ry per atom
Calculated formation energy ... 1.1 eV per formula unit